Record 1
Entry from Alexandria: a geometry-optimized AsAu2 structure (PBE).

Values from the calculation:
calculated volume: 58.9 Å³/f.u.
energy relative to the elements: 0.33 eV per formula unit
energy: -0.1333 hartree per atom
magnetic moment: 0.00 μB/cell

a b c (Å): 3.582 5.366 12.256
angles (deg): 90.00 90.00 90.00
Fractional positions:
As 0.750 0.759 0.935
As 0.250 0.241 0.065
As 0.750 0.259 0.565
As 0.250 0.741 0.435
Au 0.750 0.742 0.603
Au 0.250 0.258 0.397
Au 0.750 0.865 0.282
Au 0.250 0.635 0.782
Au 0.250 0.758 0.103
Au 0.250 0.135 0.718
Au 0.750 0.242 0.897
Au 0.750 0.365 0.218

***

Record 2
Entry from Alexandria: a geometry-optimized As3Au structure (PBE).

Values from the calculation:
calculated volume: 78.6 Å³/f.u.
energy relative to the elements: 1.43 eV per formula unit
energy: -0.1451 hartree per atom
magnetic moment: 0.00 μB/cell

a b c (Å): 5.887 5.887 5.163
angles (deg): 64.46 64.46 29.39
Fractional positions:
As 0.500 0.500 0.500
As 0.748 0.748 0.792
As 0.252 0.252 0.208
Au 0.000 0.000 0.000

***

Record 3
Entry from Alexandria: a geometry-optimized As3Au structure (PBE).

Values from the calculation:
calculated volume: 82.0 Å³/f.u.
energy relative to the elements: 0.21 eV per formula unit
energy: -0.1564 hartree per atom
magnetic moment: 0.00 μB/cell

a b c (Å): 3.701 4.085 5.424
angles (deg): 90.00 90.00 90.00
Fractional positions:
As 0.500 0.336 0.000
As 0.500 0.372 0.500
As 0.000 0.784 0.500
Au 0.000 0.841 0.000

***

Record 4
Entry from Alexandria: a geometry-optimized AsAu2 structure (PBE).

Values from the calculation:
calculated volume: 60.7 Å³/f.u.
energy relative to the elements: 0.36 eV per formula unit
energy: -0.1329 hartree per atom
magnetic moment: 0.00 μB/cell

a b c (Å): 3.812 3.812 4.826
angles (deg): 90.00 90.00 120.00
Fractional positions:
As 0.000 0.000 0.000
Au 0.333 0.667 0.319
Au 0.667 0.333 0.681

***

Record 5
Entry from Alexandria: a geometry-optimized As3Au structure (PBE).

Values from the calculation:
calculated volume: 134.6 Å³/f.u.
energy relative to the elements: 4.43 eV per formula unit
energy: -0.1176 hartree per atom
magnetic moment: 0.00 μB/cell

a b c (Å): 5.125 5.125 5.125
angles (deg): 90.00 90.00 90.00
Fractional positions:
As 0.000 0.500 0.000
As 0.500 0.000 0.000
As 0.000 0.000 0.500
Au 0.000 0.000 0.000

***

Record 6
Entry from Alexandria: a geometry-optimized AsAu structure (PBE).

Values from the calculation:
calculated volume: 52.8 Å³/f.u.
energy relative to the elements: 0.18 eV per formula unit
energy: -0.1423 hartree per atom
magnetic moment: 0.00 μB/cell

a b c (Å): 9.417 9.417 4.768
angles (deg): 90.00 90.00 90.00
Fractional positions:
As 0.315 0.835 0.000
As 0.185 0.665 0.500
As 0.685 0.165 0.000
As 0.335 0.185 0.500
As 0.665 0.815 0.500
As 0.835 0.685 0.000
As 0.815 0.335 0.500
As 0.165 0.315 0.000
Au 0.073 0.265 0.500
Au 0.927 0.735 0.500
Au 0.265 0.927 0.500
Au 0.573 0.765 0.000
Au 0.427 0.235 0.000
Au 0.735 0.073 0.500
Au 0.235 0.573 0.000
Au 0.765 0.427 0.000